Here is a geometry-optimized Mn4O7F structure from Alexandria via LeMat-Bulk. Energies are from GGA-PBEsol.

POSCAR file:
```
Mn4O7F
1.0
5.368 0.000 0.000
-0.061 6.475 0.000
-0.110 -0.683 6.477
Mn O F
8 14 2
Cartesian
0.000 0.000 0.000 Mn
-0.081 2.968 3.237 Mn
1.479 1.206 4.852 Mn
1.520 4.755 1.623 Mn
2.547 4.464 4.819 Mn
2.659 1.545 1.519 Mn
4.122 3.425 0.019 Mn
4.314 -0.326 3.190 Mn
0.119 4.689 0.291 O
0.096 1.117 3.564 O
0.109 4.817 2.907 O
1.281 3.069 4.547 O
1.243 5.829 5.194 O
1.380 0.153 1.302 O
1.342 2.905 1.917 O
2.792 4.654 0.189 O
2.722 1.376 6.259 O
2.756 4.965 3.023 O
3.941 3.157 4.655 O
4.005 2.844 1.812 O
3.957 5.738 5.040 O
4.084 0.241 1.404 O
-0.050 1.297 6.239 F
2.830 1.050 3.395 F
```

Calculated values
- SG: No. 1
- Total magnetization: 13.031 μB/f.u.
- Excess energy over the best structure of this formula in the dataset: 39 meV/atom